Record 1
Compound: Ac2PuZn3Ga4
Source: Alexandria
Functional: GGA-PBE
Structure: relaxed

Values from the calculation:
Magnetization: 6.002 Bohr magnetons per cell
Formation energy: -3.3 eV per formula unit

Cell and atoms, written as CIF:
```
data_Ac2PuZn3Ga4
_space_group_name_H-M_alt 'P -4 m 2'
_space_group_IT_number 115
_cell_length_a 4.5215
_cell_length_b 4.5215
_cell_length_c 11.3111
_cell_angle_alpha 90.00
_cell_angle_beta 90.00
_cell_angle_gamma 90.00
loop_
_space_group_symop_operation_xyz
'x,y,z'
'y,-x,-z'
'-x,-y,z'
'-y,x,-z'
'-x,y,z'
'-y,-x,-z'
'x,-y,z'
'y,x,-z'
loop_
_atom_site_label
_atom_site_fract_x
_atom_site_fract_y
_atom_site_fract_z
_atom_site_occupancy
Ac1 0.0000 0.5000 0.2363 1
Pu1 0.0000 0.0000 0.5000 1
Zn1 0.0000 0.5000 0.8809 1
Zn2 0.5000 0.5000 0.5000 1
Ga1 0.0000 0.0000 0.0000 1
Ga2 0.0000 0.5000 0.6573 1
Ga3 0.5000 0.5000 0.0000 1
```

***

Record 2
Compound: Na6Sb2H
Source: Alexandria
Functional: GGA-PBE
Structure: relaxed

Values from the calculation:
Magnetization: 0.001 Bohr magnetons per cell
Uncorrected energy: -42.6 eV for the cell shown

Cell and atoms, written as CIF:
```
data_Na6Sb2H
_space_group_name_H-M_alt 'I m m m'
_space_group_IT_number 71
_space_group_name_Hall '-I 2 2'
_cell_length_a 4.5471
_cell_length_b 7.4872
_cell_length_c 16.0121
_cell_angle_alpha 90.00
_cell_angle_beta 90.00
_cell_angle_gamma 90.00
loop_
_atom_site_label
_atom_site_fract_x
_atom_site_fract_y
_atom_site_fract_z
_atom_site_occupancy
Na1 0.0000 0.2231 0.1712 1
Na2 0.0000 0.2442 0.5000 1
Sb1 0.0000 0.0000 0.3404 1
H1 0.0000 0.0000 0.0000 1
```

***

Record 3
Compound: Cu4NiPd5
Source: Alexandria
Functional: GGA-PBE
Structure: relaxed

Values from the calculation:
Magnetization: 1.351 Bohr magnetons per cell
Formation energy: -0.8 eV per formula unit

Cell and atoms, written as CIF:
```
data_Cu4NiPd5
_space_group_name_H-M_alt 'P 4/m m m'
_space_group_IT_number 123
_space_group_name_Hall '-P 4 2'
_cell_length_a 3.0009
_cell_length_b 3.0009
_cell_length_c 15.1800
_cell_angle_alpha 90.00
_cell_angle_beta 90.00
_cell_angle_gamma 90.00
loop_
_atom_site_label
_atom_site_fract_x
_atom_site_fract_y
_atom_site_fract_z
_atom_site_occupancy
Cu1 0.0000 0.0000 0.1003 1
Cu2 0.0000 0.0000 0.3010 1
Ni1 0.0000 0.0000 0.5000 1
Pd1 0.5000 0.5000 0.0000 1
Pd2 0.5000 0.5000 0.2011 1
Pd3 0.5000 0.5000 0.4021 1
```

***

Record 4
Compound: ZrMnPt
Source: Alexandria
Functional: GGA-PBE
Structure: relaxed

Values from the calculation:
Magnetization: 13.295 Bohr magnetons per cell
Formation energy: 0.3 eV per formula unit

Cell and atoms, written as CIF:
```
data_ZrMnPt
_space_group_name_H-M_alt 'F -4 3 m'
_space_group_IT_number 216
_space_group_name_Hall 'F -4 2 3'
_cell_length_a 6.2597
_cell_length_b 6.2597
_cell_length_c 6.2597
_cell_angle_alpha 90.00
_cell_angle_beta 90.00
_cell_angle_gamma 90.00
loop_
_atom_site_label
_atom_site_fract_x
_atom_site_fract_y
_atom_site_fract_z
_atom_site_occupancy
Zr1 0.0000 0.0000 0.0000 1
Mn1 0.2500 0.2500 0.2500 1
Pt1 0.2500 0.2500 0.7500 1
```

***

Record 5
Compound: CrSbRu
Source: Alexandria
Functional: GGA-PBE
Structure: relaxed

Values from the calculation:
Magnetization: 1.195 Bohr magnetons per cell
Formation energy without anion corrections: 1.3 eV per formula unit

Cell and atoms, written as CIF:
```
data_CrSbRu
_space_group_name_H-M_alt 'P 3 m 1'
_space_group_IT_number 156
_cell_length_a 3.0064
_cell_length_b 3.0064
_cell_length_c 6.2879
_cell_angle_alpha 90.00
_cell_angle_beta 90.00
_cell_angle_gamma 120.00
loop_
_space_group_symop_operation_xyz
'x,y,z'
'-y,x-y,z'
'-x+y,-x,z'
'-y,-x,z'
'-x+y,y,z'
'x,x-y,z'
loop_
_atom_site_label
_atom_site_fract_x
_atom_site_fract_y
_atom_site_fract_z
_atom_site_occupancy
Cr1 0.0000 0.0000 0.0000 1
Sb1 0.3333 0.6667 0.6513 1
Ru1 0.6667 0.3333 0.2885 1
```

***

Record 6
Compound: SrTcRh2
Source: Alexandria
Functional: GGA-PBE
Structure: relaxed

Values from the calculation:
Magnetization: 0.000 Bohr magnetons per cell
Formation energy: 2.6 eV per formula unit
Polymorph energy (0 for the lowest one): 0.499 eV/atom

Cell and atoms, written as CIF:
```
data_SrTcRh2
_space_group_name_H-M_alt 'F -4 3 m'
_space_group_IT_number 216
_space_group_name_Hall 'F -4 2 3'
_cell_length_a 6.5512
_cell_length_b 6.5512
_cell_length_c 6.5512
_cell_angle_alpha 90.00
_cell_angle_beta 90.00
_cell_angle_gamma 90.00
loop_
_atom_site_label
_atom_site_fract_x
_atom_site_fract_y
_atom_site_fract_z
_atom_site_occupancy
Sr1 0.0000 0.0000 0.0000 1
Tc1 0.2500 0.2500 0.7500 1
Rh1 0.0000 0.0000 0.5000 1
Rh2 0.2500 0.2500 0.2500 1
```